The following is a DFT calculation (meta-GGA SCAN) of a crystal of Cd3Ga relaxed with PBEsol.

Calculated values
- calculated total energy (eV for the cell shown) = -214.45
- DOS at the Fermi energy (states/eV/cell) = 2.7

a b c (Å): 5.0233 6.1181 6.1181
angles (deg): 120.00 90.00 90.00
Closest atoms and distances in Å follow each position.
Positions (direct):
Cd 0.2500 0.6644 0.8322  8 Cd 3.04-3.08, 4 Ga 3.06
Cd 0.2500 0.1678 0.3356  8 Cd 3.04-3.08, 4 Ga 3.06
Cd 0.2500 0.1678 0.8322  8 Cd 3.04-3.08, 4 Ga 3.06
Cd 0.7500 0.3356 0.1678  8 Cd 3.04-3.08, 4 Ga 3.06
Cd 0.7500 0.8322 0.6644  8 Cd 3.04-3.08, 4 Ga 3.06
Cd 0.7500 0.8322 0.1678  8 Cd 3.04-3.08, 4 Ga 3.06
Ga 0.7500 0.3333 0.6667  12 Cd 3.06
Ga 0.2500 0.6667 0.3333  12 Cd 3.06